#w
YTlRe2 PBE relaxed; total magnetization = 0.0 μB per formula unit; volume = 20.3 A^3/atom
1.0
-2.8054 1.3893 0.1149
-1.3930 -2.7845 -0.3423
-1.5254 -3.7301 7.8584
Re Tl Y
2 1 1
direct
0.0000 0.9592 0.0408 Re
0.5000 0.2950 0.2047 Re
0.0000 0.5296 0.4707 Tl
0.5000 0.7161 0.7838 Y

=====

#x
YTlRe2 PBE relaxed; total magnetization = 0.0 μB per formula unit; volume = 20.6 A^3/atom
1.0
5.2193 -0.1484 0.1556
3.7310 3.6528 0.1556
2.1787 0.8530 4.2830
Re Tl Y
2 1 1
direct
0.9546 0.9546 0.0455 Re
0.2870 0.2870 0.2128 Re
0.5190 0.5190 0.4810 Tl
0.7394 0.7394 0.7607 Y

=====

#y
YTlRe2 PBE relaxed; total magnetization = 0.0 μB per formula unit; volume = 19.2 A^3/atom
1.0
-3.7210 -1.8037 -0.0837
0.2820 -0.7700 4.0559
-1.6484 3.1718 4.9325
Re Tl Y
2 1 1
direct
0.0000 0.0000 0.0000 Re
0.5000 0.5000 0.0000 Re
0.5000 0.5000 0.5000 Tl
0.0000 0.0000 0.5000 Y

=====

Stability check: which of them is most stable? #w.

=====

#w
Y2TlRe PBE relaxed; total magnetization = 1.1 μB per formula unit; volume = 22.4 A^3/atom
1.0
5.0260 0.0000 0.0000
2.5130 4.3526 0.0000
2.5130 1.4509 4.1037
Re Tl Y
1 1 2
direct
0.5000 0.5000 0.5000 Re
0.7500 0.7500 0.7500 Tl
0.0000 0.0000 0.0000 Y
0.2500 0.2500 0.2500 Y

=====

#x
Y2TlRe PBE relaxed; total magnetization = 1.2 μB per formula unit; volume = 26.7 A^3/atom
1.0
-3.9552 -1.9014 -1.5276
-0.1873 -2.6649 3.8021
-7.2496 4.7389 5.8039
Y Re Tl
4 2 2
direct
0.6050 0.1250 0.2500 Y
0.1450 0.6250 0.2500 Y
0.3750 0.3950 0.7500 Y
0.8750 0.8550 0.7500 Y
0.5000 0.5000 0.0000 Re
0.2500 0.7500 0.5000 Re
0.0000 0.0000 0.0000 Tl
0.7500 0.2500 0.5000 Tl

=====

Stability check: which of them is most stable? #w.

=====

#w
Y2TlRe PBE relaxed; total magnetization = 0.0 μB per formula unit; volume = 24.5 A^3/atom
1.0
-1.8374 1.5920 2.0948
2.4824 -1.4152 1.4607
5.6473 8.4164 -1.4430
Re Tl Y
1 1 2
direct
0.0000 0.0000 0.5032 Re
0.5000 0.5000 0.7192 Tl
0.0000 0.0000 0.9834 Y
0.5000 0.5000 0.2942 Y

=====

#x
Y2TlRe PBE relaxed; total magnetization = 0.0 μB per formula unit; volume = 25.2 A^3/atom
1.0
-3.3804 -0.7107 0.5235
-1.7596 -1.8013 -2.4218
0.5522 -8.9771 3.6279
Re Tl Y
1 1 2
direct
0.7500 0.7500 0.7500 Re
0.2500 0.2500 0.2500 Tl
0.0114 0.0114 0.9661 Y
0.4886 0.4886 0.5339 Y

=====

#y
Y2TlRe PBE relaxed; total magnetization = 0.0 μB per formula unit; volume = 23.3 A^3/atom
1.0
-0.2807 0.1674 4.9470
-2.9068 -2.4452 -0.0822
3.1798 -3.7910 0.3087
Re Tl Y
1 1 2
direct
0.0000 0.6250 0.3752 Re
0.5000 0.6250 0.8748 Tl
0.0000 0.1250 0.8751 Y
0.5000 0.1250 0.3750 Y

=====

#z
Y2TlRe PBE relaxed; total magnetization = 0.0 μB per formula unit; volume = 24.2 A^3/atom
1.0
-2.8743 1.2743 2.2634
1.2606 -2.2723 2.8803
3.7810 4.7757 2.1129
Re Tl Y
1 1 2
direct
0.0000 0.0000 0.4743 Re
0.5000 0.5000 0.7456 Tl
0.0000 0.0000 0.9887 Y
0.5000 0.5000 0.2915 Y

=====

Stability check: which of them is most stable? #y.

=====

#w
Y2TlRe PBE relaxed; total magnetization = 0.0 μB per formula unit; volume = 24.3 A^3/atom
1.0
-2.8349 1.8726 5.2426
2.9032 -0.3034 5.5233
0.0804 2.2527 -5.8264
Re Tl Y
1 1 2
direct
0.4950 0.4950 0.0000 Re
0.2890 0.7890 0.5000 Tl
0.0048 0.0048 0.0000 Y
0.7111 0.2111 0.5000 Y

=====

#x
Y2TlRe PBE relaxed; total magnetization = 0.0 μB per formula unit; volume = 23.4 A^3/atom
1.0
0.6739 -0.1351 5.0476
-3.0879 -2.8219 2.9074
1.7588 -4.2330 2.2225
Y Re Tl
2 1 1
direct
0.2500 0.2500 0.2500 Y
0.7500 0.7500 0.7500 Y
0.0000 0.0000 0.0000 Re
0.5000 0.5000 0.5000 Tl

=====

Stability check: which of them is most stable? #x.